1.
A geometry-optimized Zr2CuSb structure. Source: Alexandria, functional PBE.

Cell: 5.5892 5.5892 4.5794 Å, 65.85 65.85 38.38°
Last column: nearest neighbours and their distance in Å.
Atoms (fractional coordinates):
Zr 0.7673 0.7673 0.7329  2 Cu 2.96, 4 Sb 2.97, 4 Zr 3.15-3.18
Zr 0.9985 0.9985 0.0011  4 Cu 2.94, 4 Sb 3.13-3.20, 4 Zr 3.15-3.18
Sb 0.2232 0.2232 0.2769  2 Cu 2.73, 4 Zr 2.97
Cu 0.5110 0.5110 0.4890  2 Sb 2.73, 6 Zr 2.94-2.96

Symmetry: Imm2 (44)
Uncorrected energy: -6.6323 eV per atom
Uncorrected formation energy: -7.0 kcal/mol of atoms



2.
A geometry-optimized ZnInGa structure. Source: Alexandria, functional PBE.

Cell: 3.2398 6.1558 6.1913 Å, 87.65 89.93 89.99°
Last column: nearest neighbours and their distance in Å.
Atoms (fractional coordinates):
Zn 0.7186 0.8221 0.9317  2 Zn 2.66-2.67, 3 Ga 2.75, 3 In 2.88-2.92
Zn 0.2199 0.8278 0.5897  2 Zn 2.66-2.67, 3 Ga 2.75, 3 In 2.88-2.92
Ga 0.7202 0.1815 0.6519  3 Zn 2.75, 2 Ga 2.79, 1 In 2.99
Ga 0.2196 0.4685 0.8700  3 Zn 2.75, 2 Ga 2.79, 1 In 2.99
In 0.2172 0.0994 0.1994  3 Zn 2.88-2.92, 1 Ga 2.99
In 0.7202 0.5505 0.3225  3 Zn 2.88-2.92, 1 Ga 2.99

Symmetry: P-1 (2)
Uncorrected energy: -2.2980 eV per atom



3.
A geometry-optimized YIrN2F structure. Source: Alexandria, functional PBE.

Cell: 4.4830 4.4830 4.0908 Å, 90.00 90.00 90.00°
Last column: nearest neighbours and their distance in Å.
Atoms (fractional coordinates):
F 0.0000 0.0000 0.5000  2 Y 2.05
N 0.0000 0.5000 0.0000  2 Y 2.24
N 0.5000 0.0000 0.0000  2 Y 2.24
Y 0.0000 0.0000 0.0000  2 F 2.05, 4 N 2.24
Ir 0.5000 0.5000 0.5000  8 N 3.03, 4 F 3.17

Symmetry: P4/mmm (123)
Uncorrected energy: -6.0150 eV per atom
Uncorrected formation energy: 17.4 kcal/mol of atoms



4.
A geometry-optimized MgBPd3 structure. Source: Alexandria, functional PBE.

Cell: 4.4910 5.6684 5.6680 Å, 89.39 95.94 84.04°
Last column: nearest neighbours and their distance in Å.
Atoms (fractional coordinates):
Pd 0.5711 0.7870 0.3153  2 B 2.13-2.15
Pd 0.0693 0.0347 0.5194  1 B 2.14
Pd 0.6610 0.4130 0.6894  2 B 2.13-2.15
Pd 0.6158 0.2860 0.1885  2 B 2.10
Pd 0.6161 0.9163 0.8188  2 B 2.11
Pd 0.1628 0.6173 0.9370  1 B 2.14
Mg 0.1160 0.5288 0.4312  10 Pd 2.73-2.98, 2 B 2.81
Mg 0.1158 0.1067 0.0082  10 Pd 2.67-2.99
B 0.7110 0.5962 0.0181  5 Pd 2.10-2.15
B 0.5213 0.1156 0.4990  5 Pd 2.10-2.15

Symmetry: C2 (5)
Uncorrected energy: -5.2522 eV per atom



> Among the records above, which one has the lowest uncorrected energy?

Zr2CuSb



Please write out number 3 again, unchanged.
A geometry-optimized YIrN2F structure. Source: Alexandria, functional PBE.

Cell: 4.4830 4.4830 4.0908 Å, 90.00 90.00 90.00°
Last column: nearest neighbours and their distance in Å.
Atoms (fractional coordinates):
F 0.0000 0.0000 0.5000  2 Y 2.05
N 0.0000 0.5000 0.0000  2 Y 2.24
N 0.5000 0.0000 0.0000  2 Y 2.24
Y 0.0000 0.0000 0.0000  2 F 2.05, 4 N 2.24
Ir 0.5000 0.5000 0.5000  8 N 3.03, 4 F 3.17

Symmetry: P4/mmm (123)
Uncorrected energy: -6.0150 eV per atom
Uncorrected formation energy: 17.4 kcal/mol of atoms



> Which value of uncorrected energy does entry 2 give?

-2.2980 eV per atom